Entry 1:
# Zr3HSe (SCAN, PBEsol geometry)
data_Zr3HSe
_symmetry_space_group_name_H-M 'P 1'
_symmetry_Int_Tables_number 1
_symmetry_space_group_name_Hall 'P 1'
_cell_length_a 4.291
_cell_length_b 4.291
_cell_length_c 4.291
_cell_angle_alpha 90.00
_cell_angle_beta 90.00
_cell_angle_gamma 90.00
loop_
_atom_site_label
_atom_site_type_symbol
_atom_site_fract_x
_atom_site_fract_y
_atom_site_fract_z
Zr1 Zr 0.000 0.000 0.500
Zr2 Zr 0.000 0.500 0.000
Zr3 Zr 0.500 0.000 0.000
H1 H 0.000 0.000 0.000
Se1 Se 0.500 0.500 0.500
# SG: Pm-3m
# Crystal system: cubic
# Final energy, eV/atom: -23.5376

***

Entry 2:
# BaSc (SCAN, PBEsol geometry)
data_BaSc
_symmetry_space_group_name_H-M 'P 1'
_symmetry_Int_Tables_number 1
_symmetry_space_group_name_Hall 'P 1'
_cell_length_a 4.816
_cell_length_b 4.816
_cell_length_c 4.816
_cell_angle_alpha 60.00
_cell_angle_beta 60.00
_cell_angle_gamma 60.00
loop_
_atom_site_label
_atom_site_type_symbol
_atom_site_fract_x
_atom_site_fract_y
_atom_site_fract_z
Ba1 Ba 0.000 0.000 0.000
Sc1 Sc 0.500 0.500 0.500
# Energy above the most stable polymorph in this dataset, meV/atom: 728
# Energy of formation from the pure elements, eV per atom: 1.018
# SG: Fm-3m
# Crystal system: cubic
# Final energy, eV/atom: -25.8755

***

Entry 3:
# ZnAs2Br (SCAN, PBEsol geometry)
data_ZnAs2Br
_symmetry_space_group_name_H-M 'P 1'
_symmetry_Int_Tables_number 1
_symmetry_space_group_name_Hall 'P 1'
_cell_length_a 7.847
_cell_length_b 7.847
_cell_length_c 7.847
_cell_angle_alpha 154.18
_cell_angle_beta 154.05
_cell_angle_gamma 36.93
loop_
_atom_site_label
_atom_site_type_symbol
_atom_site_fract_x
_atom_site_fract_y
_atom_site_fract_z
Zn1 Zn 0.000 0.000 0.000
As1 As 0.582 0.582 0.000
As2 As 0.696 0.196 0.500
Br1 Br 0.381 0.881 0.500
# Energy above the most stable polymorph in this dataset, meV/atom: 121
# Formation energy (no corrections), meV per atom: -45.1
# SG: Imm2
# Crystal system: orthorhombic
# Final energy, eV/atom: -18.3841

***

Entry 4:
# MgBe2Zn (SCAN, PBEsol geometry)
data_MgBe2Zn
_symmetry_space_group_name_H-M 'P 1'
_symmetry_Int_Tables_number 1
_symmetry_space_group_name_Hall 'P 1'
_cell_length_a 4.956
_cell_length_b 4.956
_cell_length_c 2.636
_cell_angle_alpha 104.04
_cell_angle_beta 104.04
_cell_angle_gamma 116.34
loop_
_atom_site_label
_atom_site_type_symbol
_atom_site_fract_x
_atom_site_fract_y
_atom_site_fract_z
Mg1 Mg 0.000 0.000 0.000
Be1 Be 0.000 0.500 0.500
Be2 Be 0.500 0.000 0.500
Zn1 Zn 0.500 0.500 0.000
# Energy above the most stable polymorph in this dataset, meV/atom: 97
# Energy of formation from the pure elements, eV per atom: 0.379
# SG: C2/m
# Crystal system: monoclinic
# Final energy, eV/atom: -6.4205

***

Entry 5:
# TlTc3 (SCAN, PBEsol geometry)
data_TlTc3
_symmetry_space_group_name_H-M 'P 1'
_symmetry_Int_Tables_number 1
_symmetry_space_group_name_Hall 'P 1'
_cell_length_a 5.012
_cell_length_b 5.012
_cell_length_c 5.012
_cell_angle_alpha 135.05
_cell_angle_beta 135.05
_cell_angle_gamma 65.45
loop_
_atom_site_label
_atom_site_type_symbol
_atom_site_fract_x
_atom_site_fract_y
_atom_site_fract_z
Tl1 Tl 0.000 0.000 0.000
Tc1 Tc 0.250 0.750 0.500
Tc2 Tc 0.500 0.500 0.000
Tc3 Tc 0.750 0.250 0.500
# Energy above the most stable polymorph in this dataset, meV/atom: 173
# Energy of formation from the pure elements, eV per atom: 0.619
# SG: I4/mmm
# Crystal system: tetragonal
# Final energy, eV/atom: -43.7653

***

Entry 6:
# YMnAs2 (SCAN, PBEsol geometry)
data_YMnAs2
_symmetry_space_group_name_H-M 'P 1'
_symmetry_Int_Tables_number 1
_symmetry_space_group_name_Hall 'P 1'
_cell_length_a 4.841
_cell_length_b 4.841
_cell_length_c 4.841
_cell_angle_alpha 130.97
_cell_angle_beta 110.34
_cell_angle_gamma 89.81
loop_
_atom_site_label
_atom_site_type_symbol
_atom_site_fract_x
_atom_site_fract_y
_atom_site_fract_z
Y1 Y 0.000 0.000 0.000
Mn1 Mn 0.500 0.500 0.000
As1 As 0.293 0.793 0.500
As2 As 0.707 0.207 0.500
# Energy above the most stable polymorph in this dataset, meV/atom: 0
# Energy of formation from the pure elements, eV per atom: -0.749
# SG: Immm
# Crystal system: orthorhombic
# Final energy, eV/atom: -22.3689